Computed, not measured: a relaxed structure of Tm4BI5 at the GGA-PBE level of DFT.

Values from the calculation:
size of the total moment: 0.041 μB per cell
E_tot: -4.27 eV per atom
V: 31.70 A^3/atom

Unit cell a=18.987 b=4.002 c=8.545 alpha=90.00 beta=102.49 gamma=90.00
Space group C2/m (No. 12)
Asymmetric unit:
1 Tm 0.001 0.000 0.308 x4
2 Tm 0.132 0.500 0.567 x4
3 B 0.000 0.500 0.500 x2
4 I 0.000 0.500 0.000 x2
5 I 0.164 0.000 0.839 x4
6 I 0.170 0.000 0.327 x4



Computed, not measured: a relaxed structure of Zr6BI12 at the GGA-PBE level of DFT.

Values from the calculation:
size of the total moment: 2.580 μB per cell
E_tot: -4.96 eV per atom
V: 54.22 A^3/atom

Unit cell a=18.2786 b=18.2786 c=10.6820 alpha=90.00 beta=90.00 gamma=120.00
Space group R-3 (No. 148, hexagonal axes)
Asymmetric unit:
1 Zr 0.0342 0.9185 0.1246 x18
2 B 0.0000 0.0000 0.0000 x3
3 I 0.0423 0.8985 0.6895 x18
4 I 0.0586 0.2455 0.9999 x18



Computed, not measured: a relaxed structure of InB2Ir2 at the GGA-PBE level of DFT.

Values from the calculation:
size of the total moment: 0.001 μB per cell
E_tot: -6.94 eV per atom
V: 12.88 A^3/atom

Unit cell a=2.966 b=2.966 c=14.644 alpha=90.00 beta=90.00 gamma=90.00
Space group I4/mmm (No. 139)
Asymmetric unit:
1 In 0.000 0.000 0.000 x2
2 B 0.000 0.500 0.250 x4
3 Ir 0.000 0.000 0.356 x4



Computed, not measured: a relaxed structure of In2BIr at the GGA-PBE level of DFT.

Values from the calculation:
size of the total moment: 0.017 μB per cell
E_tot: -4.26 eV per atom
V: 16.78 A^3/atom

Unit cell a=6.451 b=6.451 c=6.451 alpha=90.00 beta=90.00 gamma=90.00
Space group F-43m (No. 216)
Asymmetric unit:
1 In 0.000 0.000 0.000 x4
2 In 0.250 0.250 0.250 x4
3 B 0.000 0.000 0.500 x4
4 Ir 0.250 0.250 0.750 x4



Computed, not measured: a relaxed structure of InBIr at the GGA-PBE level of DFT.

Values from the calculation:
size of the total moment: 0.001 μB per cell
E_tot: -5.64 eV per atom
V: 14.62 A^3/atom

Unit cell a=5.598 b=5.598 c=5.598 alpha=90.00 beta=90.00 gamma=90.00
Space group F-43m (No. 216)
Asymmetric unit:
1 In 0.000 0.000 0.000 x4
2 B 0.250 0.250 0.250 x4
3 Ir 0.000 0.000 0.500 x4



Computed, not measured: a relaxed structure of Lu2InB2 at the GGA-PBE level of DFT.

Values from the calculation:
size of the total moment: 0.002 μB per cell
E_tot: -5.51 eV per atom
V: 16.47 A^3/atom

Unit cell a=3.266 b=13.467 c=3.744 alpha=90.00 beta=90.00 gamma=90.00
Space group Cmmm (No. 65)
Asymmetric unit:
1 Lu 0.000 0.146 0.000 x4
2 In 0.000 0.500 0.500 x2
3 B 0.000 0.277 0.500 x4